Entry 1:
DFT (PBE-GGA) results for crystalline Li6Mg at its relaxed geometry.

a = 12.7394 Å, b = 12.7394 Å, c = 3.0269 Å
α = 90.00°, β = 90.00°, γ = 120.00°
Space group R-3 (No. 148, hexagonal axes)
Symmetry-distinct sites (fractional):
Li: 0.0496 0.2395 0.1229
Mg: 0.0000 0.0000 0.5000

## Properties
ΔE to the lowest computed polymorph	0.00	kcal/mol of atoms
energy	-1.876	eV/atom
theoretical density	0.8	g/cm3
calculated formation energy	-8	meV/atom


Entry 2:
DFT (PBE-GGA) results for crystalline LiMg4 at its relaxed geometry.

a = 4.1002 Å, b = 4.1002 Å, c = 15.2032 Å
α = 90.00°, β = 90.00°, γ = 90.00°
Space group I4/mmm (No. 139)
Symmetry-distinct sites (fractional):
Li: 0.0000 0.0000 0.0000
Mg: 0.0000 0.0000 0.4041
Mg: 0.0000 0.5000 0.2500

## Properties
ΔE to the lowest computed polymorph	4.89	kcal/mol of atoms
energy	-1.475	eV/atom
theoretical density	1.4	g/cm3
calculated formation energy	183	meV/atom


Entry 3:
DFT (PBE-GGA) results for crystalline LiMg6 at its relaxed geometry.

a = 8.1699 Å, b = 8.1699 Å, c = 8.1699 Å
α = 90.00°, β = 90.00°, γ = 90.00°
Space group Im-3m (No. 229)
Symmetry-distinct sites (fractional):
Li: 0.0000 0.0000 0.0000
Mg: 0.0000 0.2500 0.5000

## Properties
ΔE to the lowest computed polymorph	16.04	kcal/mol of atoms
energy	-0.949	eV/atom
theoretical density	0.9	g/cm3
calculated formation energy	691	meV/atom